Entry from Alexandria via LeMat-Bulk: crystalline Sc4ZnCo at its relaxed geometry (PBE-GGA).

It has space group P2/m (No. 10), with a = 4.541 Å, b = 4.534 Å, c = 6.394 Å, α = 90.00°, β = 99.68° and γ = 90.00°. The inequivalent atoms are Sc at (0.045, 0.000, 0.266), Sc at (0.440, 0.500, 0.725), Zn at (0.000, 0.500, 0.000) and Co at (0.500, 0.000, 0.500).

Its energy relative to the elements is -48.1 meV per atom. The total energy comes out at -33.99 eV/cell. As for the total magnetization: 0.00 μB per formula unit. The polymorph energy (0 for the lowest one) is 0.240 eV/atom.